No. 1
The following is a DFT calculation (PBE) of crystalline Zr2AlSi2 at its relaxed geometry.

Unit cell a=5.7959 b=5.7959 c=6.8341 alpha=73.59 beta=73.59 gamma=55.21
With the nearest neighbours (Å) after each atom.
Atoms (fractional coordinates):
Si: 0.1925 0.4628 0.1323  2 Al 2.60-2.65, 3 Zr 2.80-2.87
Zr: 0.0095 0.7550 0.4617  6 Si 2.80-3.12, 3 Zr 2.91-3.12, 3 Al 2.92-3.13
Al: 0.6320 0.3680 0.2500  4 Si 2.60-2.65
Zr: 0.7550 0.0095 0.9617  6 Si 2.80-3.12, 3 Zr 2.91-3.12, 3 Al 2.92-3.13
Si: 0.5372 0.8075 0.3677  2 Al 2.60-2.65, 3 Zr 2.80-2.87
Si: 0.4628 0.1925 0.6323  2 Al 2.60-2.65, 3 Zr 2.80-2.87
Al: 0.3680 0.6320 0.7500  4 Si 2.60-2.65
Si: 0.8075 0.5372 0.8677  2 Al 2.60-2.65, 3 Zr 2.80-2.87
Zr: 0.9905 0.2450 0.5383  6 Si 2.80-3.12, 3 Zr 2.91-3.12, 3 Al 2.92-3.13
Zr: 0.2450 0.9905 0.0383  6 Si 2.80-3.12, 3 Zr 2.91-3.12, 3 Al 2.92-3.13

Summary:
VASP energy   -6.824 eV/atom
Formation energy from raw total energies   -0.487 eV/atom
N(E_F)   3.07 states/eV per cell

---

No. 2
The following is a DFT calculation (PBE) of crystalline ZrAl2Si at its relaxed geometry.

Unit cell a=3.8405 b=3.8405 c=6.0894 alpha=90.00 beta=90.00 gamma=120.00
With the nearest neighbours (Å) after each atom.
Atoms (fractional coordinates):
Si: 0.0000 0.0000 0.0000  6 Al 2.53
Zr: 0.0000 0.0000 0.5000  6 Al 2.87, 2 Si 3.04
Al: 0.3333 0.6667 0.2008  3 Si 2.53
Al: 0.6667 0.3333 0.7992  3 Si 2.53

Summary:
VASP energy   -5.422 eV/atom
Formation energy from raw total energies   -0.058 eV/atom
N(E_F)   2.70 states/eV per cell

---

No. 3
The following is a DFT calculation (PBE) of crystalline Zr3AlSi2 at its relaxed geometry.

Unit cell a=6.4550 b=6.4550 c=6.7646 alpha=90.00 beta=90.00 gamma=120.00
With the nearest neighbours (Å) after each atom.
Atoms (fractional coordinates):
Zr: 0.6428 0.8214 0.7500  2 Al 2.62, 2 Si 2.83
Zr: 0.3572 0.1786 0.2500  2 Al 2.62, 2 Si 2.83
Si: 0.6667 0.3333 0.5806  1 Si 2.29
Al: 0.0000 0.0000 0.5000  6 Zr 2.62
Si: 0.3333 0.6667 0.4194  1 Si 2.29
Zr: 0.1786 0.3572 0.7500  2 Al 2.62, 2 Si 2.83
Zr: 0.8214 0.1786 0.2500  2 Al 2.62, 2 Si 2.83
Zr: 0.1786 0.8214 0.7500  2 Al 2.62, 2 Si 2.83
Al: 0.0000 0.0000 0.0000  6 Zr 2.62
Zr: 0.8214 0.6428 0.2500  2 Al 2.62, 2 Si 2.83
Si: 0.3333 0.6667 0.0806  1 Si 2.29
Si: 0.6667 0.3333 0.9194  1 Si 2.29

Summary:
VASP energy   -6.706 eV/atom
ΔE to the lowest computed polymorph   3.26 eV per formula unit
Formation energy from raw total energies   -0.001 eV/atom
N(E_F)   4.02 states/eV per cell

---

No. 4
The following is a DFT calculation (PBE) of crystalline ZrAl3Si at its relaxed geometry.

Unit cell a=6.5303 b=6.5303 c=6.5303 alpha=90.00 beta=90.00 gamma=90.00
With the nearest neighbours (Å) after each atom.
Atoms (fractional coordinates):
Al: 0.7297 0.7297 0.7297  1 Al 2.60, 3 Si 2.76
Zr: 0.0000 0.0000 0.5000  8 Al 2.91
Al: 0.2703 0.7297 0.2703  1 Al 2.60, 3 Si 2.76
Al: 0.7297 0.2703 0.2703  1 Al 2.60, 3 Si 2.76
Al: 0.2703 0.2703 0.2703  1 Al 2.60, 3 Si 2.76
Al: 0.7297 0.2703 0.7297  1 Al 2.60, 3 Si 2.76
Al: 0.7297 0.7297 0.2703  1 Al 2.60, 3 Si 2.76
Al: 0.5000 0.5000 0.5000  8 Al 2.60
Al: 0.2703 0.7297 0.7297  1 Al 2.60, 3 Si 2.76
Zr: 0.5000 0.0000 0.0000  8 Al 2.91
Al: 0.2703 0.2703 0.7297  1 Al 2.60, 3 Si 2.76
Si: 0.0000 0.5000 0.5000  8 Al 2.76
Zr: 0.0000 0.5000 0.0000  8 Al 2.91
Si: 0.5000 0.5000 0.0000  8 Al 2.76
Si: 0.5000 0.0000 0.5000  8 Al 2.76

Summary:
VASP energy   -4.881 eV/atom
ΔE to the lowest computed polymorph   0.62 eV per formula unit
Formation energy from raw total energies   0.159 eV/atom
N(E_F)   13.34 states/eV per cell

---

No. 5
The following is a DFT calculation (PBE) of crystalline ZrAl2Si4 at its relaxed geometry.

Unit cell a=3.5524 b=8.2004 c=8.2690 alpha=87.40 beta=90.00 gamma=90.00
With the nearest neighbours (Å) after each atom.
Atoms (fractional coordinates):
Al: 0.2500 0.7184 0.5046  5 Si 2.48-2.73
Si: 0.7500 0.5200 0.6701  2 Si 2.40, 2 Al 2.48-2.55
Al: 0.7500 0.2844 0.8828  4 Si 2.52-2.57
Si: 0.2500 0.0582 0.9070  3 Si 2.51-2.64, 2 Al 2.57
Si: 0.7500 0.9418 0.0930  3 Si 2.51-2.64, 2 Al 2.57
Si: 0.2500 0.0607 0.5879  3 Si 2.53-2.64, 2 Al 2.63, 2 Zr 2.82
Si: 0.2500 0.4800 0.3299  2 Si 2.40, 2 Al 2.48-2.55
Si: 0.2500 0.5665 0.8571  2 Si 2.40, 1 Al 2.52
Al: 0.7500 0.2816 0.4954  5 Si 2.48-2.73
Al: 0.2500 0.7156 0.1172  4 Si 2.52-2.57
Zr: 0.7500 0.8445 0.7539  9 Si 2.78-2.98, 2 Al 2.94
Zr: 0.2500 0.1555 0.2461  9 Si 2.78-2.98, 2 Al 2.94
Si: 0.7500 0.9393 0.4121  3 Si 2.53-2.64, 2 Al 2.63, 2 Zr 2.82
Si: 0.7500 0.4335 0.1429  2 Si 2.40, 1 Al 2.52

Summary:
VASP energy   -5.459 eV/atom
ΔE to the lowest computed polymorph   0.00 eV per formula unit
Formation energy from raw total energies   -0.070 eV/atom
N(E_F)   4.14 states/eV per cell

---

No. 6
The following is a DFT calculation (PBE) of crystalline ZrAl2Si at its relaxed geometry.

Unit cell a=4.9532 b=5.2153 c=5.6564 alpha=90.00 beta=90.00 gamma=90.00
With the nearest neighbours (Å) after each atom.
Atoms (fractional coordinates):
Si: 0.0000 0.2568 0.7500  4 Al 2.53-2.83, 2 Zr 2.76
Al: 0.5000 0.0000 0.5000  6 Al 2.83-3.09, 4 Zr 2.92-3.01, 4 Si 3.15
Al: 0.0000 0.7717 0.7500  4 Si 2.53-2.83
Al: 0.5000 0.0000 0.0000  6 Al 2.83-3.09, 4 Zr 2.92-3.01, 4 Si 3.15
Si: 0.0000 0.7432 0.2500  4 Al 2.53-2.83, 2 Zr 2.76
Zr: 0.5000 0.4902 0.7500  2 Si 2.76, 2 Zr 2.83, 6 Al 2.88-3.01
Al: 0.0000 0.2283 0.2500  4 Si 2.53-2.83
Zr: 0.5000 0.5098 0.2500  2 Si 2.76, 2 Zr 2.83, 6 Al 2.88-3.01

Summary:
VASP energy   -5.394 eV/atom
Formation energy from raw total energies   -0.029 eV/atom
N(E_F)   3.24 states/eV per cell

---

No. 7
The following is a DFT calculation (PBE) of crystalline Zr3AlSi at its relaxed geometry.

Unit cell a=6.6703 b=6.6703 c=6.6703 alpha=90.00 beta=90.00 gamma=90.00
With the nearest neighbours (Å) after each atom.
Atoms (fractional coordinates):
Al: 0.5000 0.5000 0.0000  8 Zr 2.94
Zr: 0.2365 0.2365 0.7635  3 Si 2.84, 3 Al 2.94, 4 Zr 3.04-3.15
Zr: 0.2365 0.7635 0.2365  3 Si 2.84, 3 Al 2.94, 4 Zr 3.04-3.15
Zr: 0.5000 0.5000 0.5000  8 Zr 3.04, 6 Al 3.34
Zr: 0.7635 0.7635 0.7635  3 Si 2.84, 3 Al 2.94, 4 Zr 3.04-3.15
Zr: 0.2365 0.7635 0.7635  3 Si 2.84, 3 Al 2.94, 4 Zr 3.04-3.15
Si: 0.5000 0.0000 0.0000  8 Zr 2.84
Zr: 0.7635 0.7635 0.2365  3 Si 2.84, 3 Al 2.94, 4 Zr 3.04-3.15
Zr: 0.7635 0.2365 0.2365  3 Si 2.84, 3 Al 2.94, 4 Zr 3.04-3.15
Zr: 0.7635 0.2365 0.7635  3 Si 2.84, 3 Al 2.94, 4 Zr 3.04-3.15
Al: 0.5000 0.0000 0.5000  8 Zr 2.94
Si: 0.0000 0.0000 0.5000  8 Zr 2.84
Al: 0.0000 0.5000 0.5000  8 Zr 2.94
Si: 0.0000 0.5000 0.0000  8 Zr 2.84
Zr: 0.2365 0.2365 0.2365  3 Si 2.84, 3 Al 2.94, 4 Zr 3.04-3.15

Summary:
VASP energy   -7.357 eV/atom
ΔE to the lowest computed polymorph   0.00 eV per formula unit
Formation energy from raw total energies   -0.395 eV/atom
N(E_F)   13.17 states/eV per cell

---

No. 8
The following is a DFT calculation (PBE) of crystalline ZrAl2Si4 at its relaxed geometry.

Unit cell a=3.6941 b=3.6891 c=22.7715 alpha=89.91 beta=90.00 gamma=120.05
With the nearest neighbours (Å) after each atom.
Atoms (fractional coordinates):
Zr: 0.6663 0.3326 0.6021  4 Si 2.77-2.88, 3 Al 2.83
Al: 0.6672 0.3343 0.0955  4 Si 2.50-2.61
Si: 0.6685 0.3370 0.2052  3 Si 2.39, 1 Al 2.50
Si: 0.3346 0.6691 0.2526  3 Si 2.39, 3 Al 2.58
Al: 0.9996 0.9991 0.6838  3 Si 2.58, 3 Zr 2.83
Si: 0.3331 0.6662 0.5246  3 Si 2.41
Al: 0.0004 0.0009 0.3162  3 Si 2.58, 3 Zr 2.83
Si: 0.6654 0.3309 0.7474  3 Si 2.39, 3 Al 2.58
Si: 0.6669 0.3338 0.4754  3 Si 2.41
Al: 0.3328 0.6657 0.9045  4 Si 2.50-2.61
Si: 0.3315 0.6630 0.7948  3 Si 2.39, 1 Al 2.50
Zr: 0.3337 0.6674 0.3979  4 Si 2.77-2.88, 3 Al 2.83
Si: 0.3335 0.6670 0.0293  3 Si 2.51-2.52, 3 Al 2.61
Si: 0.6665 0.3330 0.9707  3 Si 2.51-2.52, 3 Al 2.61

Summary:
VASP energy   -5.334 eV/atom
ΔE to the lowest computed polymorph   0.88 eV per formula unit
Formation energy from raw total energies   0.056 eV/atom
N(E_F)   7.26 states/eV per cell

---

No. 9
The following is a DFT calculation (PBE) of crystalline Zr3Al2Si at its relaxed geometry.

Unit cell a=6.0538 b=6.0543 c=7.2908 alpha=90.02 beta=89.98 gamma=120.02
With the nearest neighbours (Å) after each atom.
Atoms (fractional coordinates):
Al: 0.5000 0.5000 0.0000  4 Zr 2.94, 6 Al 3.03, 2 Si 3.06
Al: 0.0000 0.5000 0.0000  4 Zr 2.94, 6 Al 3.03, 2 Si 3.06
Zr: 0.1699 0.3399 0.6743  3 Al 2.94-2.97, 3 Si 2.95-3.03, 6 Zr 2.97-3.10
Al: 0.5000 0.0000 0.0000  4 Zr 2.94, 6 Al 3.03, 2 Si 3.06
Al: 0.0000 0.0000 0.0000  6 Zr 2.97, 6 Al 3.03
Zr: 0.1700 0.8300 0.6743  3 Al 2.94-2.97, 3 Si 2.95-3.03, 6 Zr 2.97-3.10
Zr: 0.6601 0.8301 0.6743  3 Al 2.94-2.97, 3 Si 2.95-3.03, 6 Zr 2.97-3.10
Zr: 0.8300 0.1700 0.3257  3 Al 2.94-2.97, 3 Si 2.95-3.03, 6 Zr 2.97-3.10
Si: 0.3334 0.6666 0.3447  9 Zr 2.95-3.03, 3 Al 3.06
Zr: 0.8301 0.6601 0.3257  3 Al 2.94-2.97, 3 Si 2.95-3.03, 6 Zr 2.97-3.10
Zr: 0.3399 0.1699 0.3257  3 Al 2.94-2.97, 3 Si 2.95-3.03, 6 Zr 2.97-3.10
Si: 0.6666 0.3334 0.6553  9 Zr 2.95-3.03, 3 Al 3.06

Summary:
VASP energy   -6.724 eV/atom
ΔE to the lowest computed polymorph   1.01 eV per formula unit
Formation energy from raw total energies   -0.298 eV/atom
N(E_F)   9.96 states/eV per cell

---

No. 10
The following is a DFT calculation (PBE) of crystalline ZrAl2Si at its relaxed geometry.

Unit cell a=4.5694 b=2.9114 c=5.2415 alpha=89.97 beta=90.00 gamma=90.00
With the nearest neighbours (Å) after each atom.
Atoms (fractional coordinates):
Al: 0.5000 0.2505 0.2508  4 Al 2.64-2.91, 2 Si 2.66, 2 Zr 2.96
Si: 0.0000 0.2509 0.5098  4 Al 2.55-2.69
Zr: 0.5000 0.7500 0.7427  2 Zr 2.91, 8 Al 2.96-3.04, 4 Si 2.97
Al: 0.0000 0.2486 0.9966  2 Si 2.55-2.69, 2 Al 2.64

Summary:
VASP energy   -5.691 eV/atom
Formation energy from raw total energies   -0.327 eV/atom
N(E_F)   1.66 states/eV per cell

---

Calculated volume (A^3/atom)
17.9; 19.4; 20.3; 18.6; 17.2; 18.3; 19.8; 19.2; 19.3; 17.4